No. 1
## LaCe2Zn2Si2 (PBE)

Data for a relaxed LaCe2Zn2Si2 crystal.

a b c (Å): 9.8351 9.8351 9.8351
angles (deg): 25.06 25.06 25.06
Sites, in units of the cell vectors:
La1 0.0000 0.0000 0.0000
Ce1 0.1422 0.1422 0.1422
Ce2 0.8578 0.8578 0.8578
Zn1 0.4078 0.4078 0.4078
Zn2 0.5922 0.5922 0.5922
Si1 0.2592 0.2592 0.2592
Si2 0.7408 0.7408 0.7408

Properties
calculated density: 6702 kg/m³
N(E_F): 1.537 states/eV per atom
energy relative to the elements, uncorrected: -41.4 kJ per mole of atoms
total moment: 1.9 μB/f.u.

No. 2
## LiBe2Re (PBE)

Data for a relaxed LiBe2Re crystal.

a b c (Å): 4.1238 4.1238 2.6129
angles (deg): 90.00 90.00 90.21
Sites, in units of the cell vectors:
Li1 0.0000 0.0000 0.0000
Be1 0.0000 0.5000 0.5000
Be2 0.5000 0.0000 0.5000
Re1 0.5000 0.5000 0.0000

Properties
DFT formation energy: -20.3 meV per atom
calculated density: 7892 kg/m³
N(E_F): 0.112 states/eV per atom
ΔE to the lowest computed polymorph: 0.000 eV/atom
total moment: 0.0 μB/f.u.

No. 3
## LaAsI2 (PBE)

Data for a relaxed LaAsI2 crystal.

a b c (Å): 11.4146 11.4146 11.4146
angles (deg): 154.36 154.36 36.57
Sites, in units of the cell vectors:
La1 0.0000 0.0000 0.0000
La2 0.7500 0.2500 0.5000
As1 0.2500 0.7500 0.5000
As2 0.5000 0.5000 0.0000
I1 0.1240 0.6250 0.9990
I2 0.3750 0.3740 0.4990
I3 0.6260 0.1250 0.0010
I4 0.8750 0.8760 0.5010

Properties
calculated density: 5585 kg/m³
N(E_F): 0.063 states/eV per atom
energy relative to the elements, uncorrected: -52.6 kJ per mole of atoms
ΔE to the lowest computed polymorph: 0.000 eV/atom
total moment: 0.0 μB/f.u.

No. 4
## Sr2AlHgAu6 (PBE)

Data for a relaxed Sr2AlHgAu6 crystal.

a b c (Å): 7.0086 7.0086 9.3007
angles (deg): 127.64 127.64 46.41
Sites, in units of the cell vectors:
Sr1 0.2364 0.2364 0.1985
Sr2 0.7636 0.7636 0.8015
Al1 0.0000 0.0000 0.5000
Hg1 0.5000 0.5000 0.0000
Au1 0.2443 0.7422 0.2626
Au2 0.2461 0.2461 0.5964
Au3 0.2578 0.7557 0.7374
Au4 0.7422 0.2443 0.2626
Au5 0.7539 0.7539 0.4036
Au6 0.7557 0.2578 0.7374

Properties
DFT formation energy: -478.0 meV per atom
calculated density: 10640 kg/m³
N(E_F): 0.302 states/eV per atom
total moment: 0.0 μB/f.u.

Copy entry 4 word for word.
## Sr2AlHgAu6 (PBE)

Data for a relaxed Sr2AlHgAu6 crystal.

a b c (Å): 7.0086 7.0086 9.3007
angles (deg): 127.64 127.64 46.41
Sites, in units of the cell vectors:
Sr1 0.2364 0.2364 0.1985
Sr2 0.7636 0.7636 0.8015
Al1 0.0000 0.0000 0.5000
Hg1 0.5000 0.5000 0.0000
Au1 0.2443 0.7422 0.2626
Au2 0.2461 0.2461 0.5964
Au3 0.2578 0.7557 0.7374
Au4 0.7422 0.2443 0.2626
Au5 0.7539 0.7539 0.4036
Au6 0.7557 0.2578 0.7374

Properties
DFT formation energy: -478.0 meV per atom
calculated density: 10640 kg/m³
N(E_F): 0.302 states/eV per atom
total moment: 0.0 μB/f.u.

> Which formula does entry 2 have?

LiBe2Re